Entry 1:
! PBE-GGA KPm2NpO8, optimized geometry; values from VASP
&SYSTEM
  ibrav = 0, nat = 12, ntyp = 4
/
ATOMIC_SPECIES
K 39.10 K.upf
Pm 145.00 Pm.upf
Np 237.00 Np.upf
O 16.00 O.upf
ATOMIC_POSITIONS angstrom
K -0.002 0.004 4.114
Pm 1.908 2.578 6.385
Pm 1.910 2.574 1.841
Np 0.000 0.000 0.000
O -0.028 4.113 1.588
O 2.041 4.039 -0.003
O 3.848 1.034 1.592
O 3.846 1.038 6.638
O 1.777 1.112 8.228
O -0.030 4.117 6.634
O 1.660 3.294 4.112
O 2.158 1.857 4.114
CELL_PARAMETERS angstrom
4.052 -0.256 0.002
-0.230 5.401 -0.005
-0.003 0.007 8.229
! Crystal system   monoclinic
! Raw formation energy   -2.6002 eV/atom
! Final energy   -7.867 eV per atom
! Spin magnetization   0.00 μB per atom


Entry 2:
! PBE-GGA SrZr2AgSn, optimized geometry; values from VASP
&SYSTEM
  ibrav = 0, nat = 5, ntyp = 4
/
ATOMIC_SPECIES
Zr 91.22 Zr.upf
Sn 118.71 Sn.upf
Ag 107.87 Ag.upf
Sr 87.62 Sr.upf
ATOMIC_POSITIONS angstrom
Zr -0.139 -2.017 1.736
Zr -2.439 -0.598 -0.890
Sn -1.544 -4.205 -0.919
Ag 1.034 -1.590 -1.765
Sr 0.000 0.000 0.000
CELL_PARAMETERS angstrom
-4.879 -1.197 -1.780
2.068 -3.180 -3.530
-0.277 -4.034 3.472
! Crystal system   tetragonal
! Energy of formation   1.558 eV/atom
! Final energy   -3.569 eV per atom
! Spin magnetization   0.00 μB per atom


Entry 3:
! PBE-GGA TlTe4Au, optimized geometry; values from VASP
&SYSTEM
  ibrav = 0, nat = 6, ntyp = 3
/
ATOMIC_SPECIES
Tl 204.38 Tl.upf
Te 127.60 Te.upf
Au 196.97 Au.upf
ATOMIC_POSITIONS angstrom
Tl 6.805 6.805 6.805
Te 5.685 3.389 5.685
Te 3.389 5.685 5.685
Te 5.685 5.685 3.389
Te 3.389 3.389 3.389
Au 0.000 0.000 0.000
CELL_PARAMETERS angstrom
0.000 4.537 4.537
4.537 0.000 4.537
4.537 4.537 0.000
! Crystal system   cubic
! Raw formation energy   0.3344 eV/atom
! Final energy   -2.701 eV per atom
! Spin magnetization   0.00 μB per atom


Entry 4:
! PBE-GGA FeHg, optimized geometry; values from VASP
&SYSTEM
  ibrav = 0, nat = 32, ntyp = 2
/
ATOMIC_SPECIES
Fe 55.84 Fe.upf
Hg 200.59 Hg.upf
ATOMIC_POSITIONS angstrom
Fe 2.477 0.000 0.000
Fe 10.226 0.000 0.000
Fe 2.477 1.958 6.356
Fe 10.226 1.958 6.356
Fe 8.829 0.000 6.356
Fe 3.874 0.000 6.356
Fe 8.829 1.958 0.000
Fe 3.874 1.958 0.000
Fe 0.000 0.000 10.232
Fe 0.000 0.000 2.480
Fe 0.000 1.958 3.876
Fe 0.000 1.958 8.836
Fe 6.352 0.000 3.876
Fe 6.352 0.000 8.836
Fe 6.352 1.958 10.232
Fe 6.352 1.958 2.480
Hg 8.099 0.000 1.748
Hg 8.099 0.000 10.964
Hg 4.604 0.000 10.964
Hg 4.604 0.000 1.748
Hg 8.099 1.958 8.104
Hg 8.099 1.958 4.608
Hg 4.604 1.958 4.608
Hg 4.604 1.958 8.104
Hg 1.748 0.000 8.104
Hg 1.748 0.000 4.608
Hg 10.956 0.000 4.608
Hg 10.956 0.000 8.104
Hg 1.748 1.958 1.748
Hg 1.748 1.958 10.964
Hg 10.956 1.958 10.964
Hg 10.956 1.958 1.748
CELL_PARAMETERS angstrom
12.704 0.000 0.000
0.000 3.916 0.000
0.000 0.000 12.712
! Crystal system   tetragonal
! Energy of formation   0.485 eV/atom
! Final energy   -3.897 eV per atom
! Spin magnetization   1.26 μB per atom


Entry 5:
! PBE-GGA Ag2HgIr, optimized geometry; values from VASP
&SYSTEM
  ibrav = 0, nat = 4, ntyp = 3
/
ATOMIC_SPECIES
Ir 192.22 Ir.upf
Hg 200.59 Hg.upf
Ag 107.87 Ag.upf
ATOMIC_POSITIONS angstrom
Ir -0.831 2.761 -0.598
Hg -2.272 1.249 1.396
Ag 0.000 0.000 0.000
Ag -3.603 1.929 -1.141
CELL_PARAMETERS angstrom
-2.163 3.441 -3.134
-5.044 0.418 0.853
4.104 0.151 3.079
! Crystal system   tetragonal
! Energy of formation   0.396 eV/atom
! Final energy   -3.321 eV per atom
! Spin magnetization   0.00 μB per atom


Entry 6:
! PBE-GGA NpTl2SbO6, optimized geometry; values from VASP
&SYSTEM
  ibrav = 0, nat = 20, ntyp = 4
/
ATOMIC_SPECIES
Np 237.00 Np.upf
Tl 204.38 Tl.upf
Sb 121.76 Sb.upf
O 16.00 O.upf
ATOMIC_POSITIONS angstrom
Np 2.267 4.377 2.167
Np 3.049 -1.498 2.923
Tl 3.039 1.754 4.599
Tl 4.799 4.374 -0.474
Tl 5.561 5.003 3.633
Tl 2.277 1.125 0.491
Sb 5.570 1.751 1.957
Sb -0.254 1.128 3.134
O 0.981 2.719 2.661
O 3.555 6.035 1.675
O 4.335 0.161 2.429
O 6.804 3.342 1.484
O 5.943 2.060 3.968
O 4.646 3.721 6.171
O 3.953 3.037 2.060
O 2.657 4.698 4.263
O 0.119 1.437 5.145
O 1.363 -0.157 3.030
O -0.626 0.820 1.123
O -1.870 2.414 3.237
CELL_PARAMETERS angstrom
-2.540 3.256 4.318
4.065 -1.997 3.897
5.043 6.497 -1.932
! Crystal system   cubic
! Raw formation energy   -1.6906 eV/atom
! Final energy   -6.845 eV per atom
! Spin magnetization   0.20 μB per atom


Entry 7:
! PBE-GGA NaPaCuO6, optimized geometry; values from VASP
&SYSTEM
  ibrav = 0, nat = 9, ntyp = 4
/
ATOMIC_SPECIES
Na 22.99 Na.upf
Pa 231.04 Pa.upf
Cu 63.55 Cu.upf
O 16.00 O.upf
ATOMIC_POSITIONS angstrom
Na 2.183 -1.972 -2.480
Pa 2.927 -0.257 0.883
Cu -0.073 -2.282 -0.423
O 3.572 -3.350 -1.298
O 3.812 -3.909 1.672
O 1.076 -3.587 0.406
O 1.533 -1.219 -0.422
O 4.525 -1.400 0.040
O 2.608 -1.769 2.360
CELL_PARAMETERS angstrom
-0.146 -4.564 -0.847
1.584 0.877 -4.996
3.599 -0.824 3.823
! Crystal system   trigonal
! Raw formation energy   -1.4181 eV/atom
! Final energy   -6.380 eV per atom
! Spin magnetization   0.12 μB per atom


Entry 8:
! PBE-GGA YInBi2C, optimized geometry; values from VASP
&SYSTEM
  ibrav = 0, nat = 5, ntyp = 4
/
ATOMIC_SPECIES
Y 88.91 Y.upf
C 12.01 C.upf
Bi 208.98 Bi.upf
In 114.82 In.upf
ATOMIC_POSITIONS angstrom
Y -0.604 -3.652 -2.333
C 0.000 0.000 0.000
Bi -1.376 -2.177 0.707
Bi -0.950 -0.207 -2.487
In 1.722 -1.268 -0.553
CELL_PARAMETERS angstrom
-1.900 -0.413 -4.975
3.445 -2.536 -1.105
-2.752 -4.354 1.413
! Crystal system   tetragonal
! Energy of formation   0.514 eV/atom
! Final energy   -4.723 eV per atom
! Spin magnetization   0.00 μB per atom


Entry 9:
! PBE-GGA SiHg2Pb, optimized geometry; values from VASP
&SYSTEM
  ibrav = 0, nat = 4, ntyp = 3
/
ATOMIC_SPECIES
Hg 200.59 Hg.upf
Pb 207.20 Pb.upf
Si 28.09 Si.upf
ATOMIC_POSITIONS angstrom
Hg 0.000 6.472 4.259
Hg 0.000 3.627 2.434
Pb 2.131 1.683 1.116
Si 2.131 5.050 3.347
CELL_PARAMETERS angstrom
4.262 0.000 0.000
0.000 5.195 -0.169
0.000 1.537 4.631
! Crystal system   monoclinic
! Raw formation energy   0.2708 eV/atom
! Final energy   -2.163 eV per atom
! Spin magnetization   0.00 μB per atom


Entry 10:
! PBE-GGA KInAs, optimized geometry; values from VASP
&SYSTEM
  ibrav = 0, nat = 3, ntyp = 3
/
ATOMIC_SPECIES
As 74.92 As.upf
In 114.82 In.upf
K 39.10 K.upf
ATOMIC_POSITIONS angstrom
As 7.763 4.482 3.169
In 0.000 0.000 0.000
K 5.175 2.988 2.113
CELL_PARAMETERS angstrom
5.175 0.000 0.000
2.588 4.482 0.000
2.588 1.494 4.226
! Crystal system   cubic
! Energy of formation   -0.147 eV/atom
! Final energy   -2.975 eV per atom
! Spin magnetization   0.00 μB per atom


Entry 11:
! PBE-GGA Er2SbRu, optimized geometry; values from VASP
&SYSTEM
  ibrav = 0, nat = 4, ntyp = 3
/
ATOMIC_SPECIES
Sb 121.76 Sb.upf
Ru 101.07 Ru.upf
Er 167.26 Er.upf
ATOMIC_POSITIONS angstrom
Sb 1.692 1.692 4.021
Ru 1.692 1.692 0.000
Er 0.000 0.000 6.390
Er 0.000 0.000 1.653
CELL_PARAMETERS angstrom
3.383 0.000 0.000
0.000 3.383 0.000
0.000 0.000 8.043
! Crystal system   tetragonal
! Raw formation energy   -0.6210 eV/atom
! Final energy   -6.252 eV per atom
! Spin magnetization   0.00 μB per atom


Entry 12:
! PBE-GGA Ac6SmTe8, optimized geometry; values from VASP
&SYSTEM
  ibrav = 0, nat = 15, ntyp = 3
/
ATOMIC_SPECIES
Ac 227.00 Ac.upf
Sm 150.36 Sm.upf
Te 127.60 Te.upf
ATOMIC_POSITIONS angstrom
Ac -3.752 -4.529 5.642
Ac -4.283 0.846 1.756
Ac -7.115 -2.739 2.881
Ac -0.920 -0.944 4.517
Ac -2.832 -3.585 1.125
Ac -5.203 -0.097 6.273
Sm 0.000 0.000 0.000
Te -12.053 -5.524 11.097
Te -4.018 -1.841 3.699
Te -8.308 -0.921 5.401
Te -7.762 -6.445 9.395
Te -4.852 -2.760 8.239
Te -11.218 -4.605 6.557
Te -9.253 -1.890 10.043
Te -6.817 -5.475 4.753
CELL_PARAMETERS angstrom
-8.566 1.693 3.511
-5.665 -7.171 2.250
-1.840 -1.887 9.035
! Crystal system   cubic
! Raw formation energy   -1.5104 eV/atom
! Final energy   -5.144 eV per atom
! Spin magnetization   0.00 μB per atom